No. 1
A geometry-optimized Zn2FeNi structure. Source: Alexandria via LeMat-Bulk, functional PBE-GGA.

Structure (POSCAR):
```
Zn2FeNi
1.0
2.6593 0.0000 0.0000
0.0000 3.4401 0.0000
0.0000 0.0000 5.4390
Zn Fe Ni
2 1 1
direct
0.0000 0.0000 0.2430 Zn
0.0000 0.0000 0.7570 Zn
0.5000 0.5000 0.5000 Fe
0.5000 0.5000 0.0000 Ni
```

Output
As for the formation enthalpy at 0 K: -0.229 eV/f.u. The value obtained for the volume is 49.76 Å³/cell. As for the symmetry: Pmmm.


No. 2
A geometry-optimized Sr4MgIr structure. Source: Alexandria via LeMat-Bulk, functional PBE-GGA.

Structure (POSCAR):
```
Sr4MgIr
1.0
0.0000 4.7161 4.7161
4.7161 0.0000 4.7161
4.7161 4.7161 0.0000
Sr Mg Ir
4 1 1
direct
0.1236 0.1236 0.1236 Sr
0.1236 0.1236 0.6291 Sr
0.1236 0.6291 0.1236 Sr
0.6291 0.1236 0.1236 Sr
0.5000 0.5000 0.5000 Mg
0.7500 0.7500 0.7500 Ir
```

Output
As for the formation enthalpy at 0 K: 5.214 eV/f.u. The value obtained for the volume is 209.79 Å³/cell. As for the symmetry: F-43m.